Entry 1:
# Tb2Ce

A geometry-optimized Tb2Ce structure (PBE, Alexandria).

The size of the total moment comes out at 0.48 μB per formula unit. Its crystal system is tetragonal. The calculation puts the formation energy at 0.073 eV/atom. The calculation puts the energy above the most stable polymorph in this dataset at 3.4 kJ per mole of atoms.

The space group is I4/mmm (No. 139) and the conventional cell measures 3.528, 3.528 and 14.938 Å, with angles of 90.00, 90.00 and 90.00 degrees. Symmetry generates all atoms from Tb at (0.000, 0.000, 0.162) and Ce at (0.000, 0.000, 0.500).

=====

Entry 2:
# Pr8SmY4

A geometry-optimized Pr8SmY4 structure (PBE, Alexandria).

The size of the total moment comes out at 0.00 μB per formula unit. Its crystal system is monoclinic. The calculation puts the formation energy at 0.243 eV/atom.

The space group is C2/m (No. 12) and the conventional cell measures 13.017, 12.031 and 6.667 Å, with angles of 90.00, 116.13 and 90.00 degrees. Symmetry generates all atoms from Pr at (0.076, 0.242, 0.318), Pr at (0.157, 0.000, 0.070), Pr at (0.239, 0.500, 0.366), Sm at (0.000, 0.500, 0.000), Y at (0.000, 0.000, 0.500), Y at (0.000, 0.500, 0.500) and Y at (0.250, 0.250, 0.000).

=====

Entry 3:
# LiTaAs2

A geometry-optimized LiTaAs2 structure (PBE, Alexandria).

The size of the total moment comes out at 0.00 μB per formula unit. Its crystal system is monoclinic. The calculation puts the formation energy at -0.200 eV/atom. The calculation puts the energy above the most stable polymorph in this dataset at 22.7 kJ per mole of atoms.

The space group is C2/m (No. 12) and the conventional cell measures 7.144, 7.053 and 2.889 Å, with angles of 90.00, 106.41 and 90.00 degrees. Symmetry generates all atoms from Li at (0.000, 0.000, 0.000), Ta at (0.000, 0.500, 0.000) and As at (0.250, 0.250, 0.500).

=====

Entry 4:
# Sr2EuSn

A geometry-optimized Sr2EuSn structure (PBE, Alexandria).

The size of the total moment comes out at 7.90 μB per formula unit. Its crystal system is cubic. The calculation puts the formation energy at -0.239 eV/atom. The calculation puts the energy above the most stable polymorph in this dataset at 11.6 kJ per mole of atoms.

The space group is Fm-3m (No. 225) and the conventional cell measures 8.427, 8.427 and 8.427 Å, with angles of 90.00, 90.00 and 90.00 degrees. Symmetry generates all atoms from Sr at (0.250, 0.250, 0.250), Eu at (0.000, 0.000, 0.000) and Sn at (0.000, 0.000, 0.500).